No. 1
## NbFeMoOs (GGA-PBE)

Data for a relaxed NbFeMoOs crystal.

```
NbFeMoOs
1.0
-0.952 -4.305 0.010
1.916 -2.675 2.934
-2.374 -1.725 3.290
Os Nb Mo Fe
1 1 1 1
direct
0.750 0.750 0.750
0.000 0.000 0.000
0.250 0.250 0.250
0.500 0.500 0.500
```

## Properties
For the magnetization, the calculation gives 3.01 μB/cell. The space group is F-43m (216).

---

No. 2
## Tl2HgW (GGA-PBE)

Data for a relaxed Tl2HgW crystal.

```
Tl2HgW
1.0
-1.655 0.397 3.362
1.681 -3.152 1.200
4.863 3.352 1.997
Tl Hg W
2 1 1
direct
0.000 0.000 0.016
0.000 0.000 0.484
0.500 0.500 0.750
0.500 0.500 0.250
```

## Properties
For the magnetization, the calculation gives 0.00 μB/cell. The space group is P4/mmm (123).

---

No. 3
## Hf3MgBi4 (GGA-PBE)

Data for a relaxed Hf3MgBi4 crystal.

```
Hf3MgBi4
1.0
-1.536 -0.879 -5.426
-6.750 -6.648 2.988
-5.942 6.329 0.657
Hf Bi Mg
6 8 2
direct
0.590 0.297 0.295
0.090 0.703 0.795
0.090 0.703 0.205
0.539 0.815 0.000
0.590 0.297 0.705
0.039 0.185 0.500
0.093 0.399 0.724
0.040 0.862 0.500
0.593 0.601 0.224
0.038 0.933 0.000
0.593 0.601 0.776
0.538 0.067 0.500
0.093 0.399 0.276
0.540 0.138 0.000
0.532 0.761 0.500
0.032 0.239 0.000
```

## Properties
For the magnetization, the calculation gives 0.00 μB/cell. The space group is Pmn2_1 (31).

---

no.,VASP energy (eV per atom),volume (Å³/f.u.)
1,-10.0883,60.6
2,-3.5383,88.5
3,-5.7062,246.8